[1]
TbCe2Rh3 after structural relaxation. Source: Alexandria via LeMat-Bulk, functional GGA-PBE.

Lattice parameters (Å, degrees): 12.680 5.715 7.877 90.00 108.04 90.00
Space group C2/c (No. 15)
Unique sites:
Tb (0.000, 0.040, 0.250) (multiplicity 4)
Ce (0.166, 0.485, 0.083) (multiplicity 8)
Rh (0.000, 0.459, 0.750) (multiplicity 4)
Rh (0.173, 0.016, 0.588) (multiplicity 8)

Calculated values
ΔH_f (0 K)   -0.687 eV/atom
Raw total energy   -7.112 eV/atom

[2]
Tb5CeRh6 after structural relaxation. Source: Alexandria via LeMat-Bulk, functional GGA-PBE.

Lattice parameters (Å, degrees): 4.842 14.496 7.024 90.00 90.00 90.00
Space group Cmmm (No. 65)
Unique sites:
Tb (0.000, 0.000, 0.000) (multiplicity 2)
Tb (0.000, 0.331, 0.500) (multiplicity 4)
Tb (0.000, 0.333, 0.000) (multiplicity 4)
Ce (0.000, 0.000, 0.500) (multiplicity 2)
Rh (0.000, 0.163, 0.252) (multiplicity 8)
Rh (0.000, 0.500, 0.256) (multiplicity 4)

Calculated values
ΔH_f (0 K)   -0.815 eV/atom
Raw total energy   -6.915 eV/atom

Calculated spin magnetization in order - 0.00 0.11 μB per formula unit